# 1
Material: KTl2TeO4
Method: DFT, PBE
State: relaxed

Unit cell a=7.1137 b=7.1137 c=7.3257 alpha=116.87 beta=116.87 gamma=87.40
Element x y z (fractional)
K: 0.0000 0.5000 0.0000
K: 0.0000 0.5000 0.5000
Tl: 0.5000 0.0000 0.0000
Tl: 0.5000 0.0000 0.5000
Tl: 0.0000 0.0000 0.5000
Tl: 0.5000 0.5000 0.0000
Te: 0.5000 0.5000 0.5000
Te: 0.0000 0.0000 0.0000
O: 0.2713 0.8336 0.0988
O: 0.6664 0.2287 0.4012
O: 0.3336 0.7712 0.5988
O: 0.7288 0.1664 0.9012
O: 0.7818 0.8164 0.0192
O: 0.6836 0.7182 0.4808
O: 0.3164 0.2818 0.5192
O: 0.2182 0.1836 0.9808

Results
The crystal system is monoclinic.


# 2
Material: LaSbTeI2
Method: DFT, PBE
State: relaxed

Unit cell a=6.1798 b=6.1798 c=6.4001 alpha=90.00 beta=90.00 gamma=90.00
Each line ends with the local moment (μB).
Element x y z (fractional)
I: 0.0000 0.5000 0.0000  0.03
I: 0.5000 0.0000 0.0000  0.03
Sb: 0.5000 0.5000 0.5000  0.85
Te: 0.0000 0.0000 0.5000  -0.15
La: 0.0000 0.0000 0.0000  0.01

Results
Its relative energy among the computed polymorphs is 0 meV per atom. The crystal system is tetragonal.


Number 1: calculated volume 18.1 Å³/atom, formation energy (no corrections) -0.75 eV per atom. Number 2: calculated volume 48.9 Å³/atom, formation energy (no corrections) -0.39 eV per atom.